Below is ReB4Pt after structural relaxation, with properties calculated at the GGA-PBE level.

Cell lengths 4.655, 4.655, 4.655 Å; angles 141.68, 114.33, 78.66 degrees
Sites, in units of the cell vectors:
Pt 0.000 0.000 0.000
B 0.558 0.234 0.324
Re 0.500 0.500 0.000
B 0.909 0.234 0.676
B 0.091 0.766 0.324
B 0.442 0.766 0.676

ρ   12.7 g cm⁻³
Total DFT energy (no corrections)   -7.109 eV per atom

=====

Below is ReBPt2 after structural relaxation, with properties calculated at the GGA-PBE level.

Cell lengths 4.256, 4.256, 4.256 Å; angles 60.00, 60.00, 60.00 degrees
Sites, in units of the cell vectors:
Re 0.250 0.250 0.250
B 0.500 0.500 0.500
Pt 0.750 0.750 0.750
Pt 0.000 0.000 0.000

ρ   17.9 g cm⁻³
Total DFT energy (no corrections)   -7.155 eV per atom

=====

Below is B4SbPt after structural relaxation, with properties calculated at the GGA-PBE level.

Cell lengths 5.331, 5.331, 5.331 Å; angles 149.06, 117.84, 71.05 degrees
Sites, in units of the cell vectors:
B 0.420 0.767 0.653
B 0.886 0.233 0.653
Pt 0.500 0.500 0.000
B 0.114 0.767 0.347
B 0.580 0.233 0.347
Sb 0.000 0.000 0.000

ρ   8.8 g cm⁻³
Total DFT energy (no corrections)   -5.543 eV per atom

=====

Below is B4SbPt after structural relaxation, with properties calculated at the GGA-PBE level.

Cell lengths 3.054, 3.054, 8.434 Å; angles 90.00, 90.00, 120.00 degrees
Sites, in units of the cell vectors:
B 0.333 0.667 0.211
Sb 0.000 0.000 0.500
B 0.333 0.667 0.789
Pt 0.000 0.000 0.000
B 0.667 0.333 0.211
B 0.667 0.333 0.789

ρ   8.8 g cm⁻³
Total DFT energy (no corrections)   -5.579 eV per atom